Sr3Ga3Rh | PBE | relaxed

Geometry as POSCAR:
```
Sr3Ga3Rh
1.0
5.963 -2.204 0.000
5.963 2.204 0.000
-5.191 0.000 14.678
Sr Ga Rh
6 6 2
Direct
0.017 0.017 0.388 Sr
0.111 0.111 0.921 Sr
0.245 0.245 0.237 Sr
0.755 0.755 0.763 Sr
0.889 0.889 0.079 Sr
0.983 0.983 0.612 Sr
0.319 0.319 0.459 Ga
0.402 0.402 0.922 Ga
0.454 0.454 0.760 Ga
0.546 0.546 0.240 Ga
0.598 0.598 0.078 Ga
0.681 0.681 0.541 Ga
0.272 0.272 0.608 Rh
0.728 0.728 0.392 Rh
```

Values from the calculation:
Electronic total energy, eV per cell: -49.7
Space group: No. 12
Energy of formation, eV/atom: -0.4792
N(E_F), states/eV/atom: 0.8205


Hf2TaCrFe | PBE | relaxed

Geometry as POSCAR:
```
Hf2TaCrFe
1.0
4.795 0.000 0.000
0.000 4.795 0.000
0.000 0.000 4.084
Hf Ta Cr Fe
2 1 1 1
Direct
0.000 0.500 0.000 Hf
0.500 0.000 0.000 Hf
0.000 0.000 0.500 Ta
0.500 0.500 0.500 Cr
0.500 0.500 0.000 Fe
```

Values from the calculation:
Electronic total energy, eV per cell: -46.4
Space group: No. 123
Energy of formation, eV/atom: 0.6864
N(E_F), states/eV/atom: 1.9495


NiBH | PBE | relaxed

Geometry as POSCAR:
```
NiBH
1.0
4.260 -1.236 0.000
4.260 1.236 0.000
-0.702 0.000 2.370
Ni B H
1 1 1
Direct
0.000 0.000 0.000 Ni
0.627 0.627 0.624 B
0.778 0.778 0.771 H
```

Values from the calculation:
Electronic total energy, eV per cell: -15.4
Space group: No. 8
N(E_F), states/eV/atom: 0.2310


ZrTa2Tc | PBE | relaxed

Geometry as POSCAR:
```
ZrTa2Tc
1.0
0.000 3.290 3.290
3.290 0.000 3.290
3.290 3.290 0.000
Zr Ta Tc
1 2 1
Direct
0.000 0.000 0.000 Zr
0.250 0.250 0.250 Ta
0.750 0.750 0.750 Ta
0.500 0.500 0.500 Tc
```

Values from the calculation:
Electronic total energy, eV per cell: -42.9
Space group: No. 225
Energy of formation, eV/atom: -0.0722
N(E_F), states/eV/atom: 1.1560


NpInSnBi | PBE | relaxed

Geometry as POSCAR:
```
NpInSnBi
1.0
4.535 0.000 0.000
0.000 4.775 0.000
0.000 0.000 4.895
Np In Sn Bi
1 1 1 1
Direct
0.000 0.000 0.000 Np
0.000 0.500 0.500 In
0.500 0.000 0.500 Sn
0.500 0.500 0.000 Bi
```

Values from the calculation:
Electronic total energy, eV per cell: -23.8
Space group: No. 47
Energy of formation, eV/atom: -0.0535
N(E_F), states/eV/atom: 3.1673


NaNb2PdBr | PBE | relaxed

Geometry as POSCAR:
```
NaNb2PdBr
1.0
4.985 0.000 0.000
0.000 4.985 0.000
0.000 0.000 5.636
Na Nb Pd Br
1 2 1 1
Direct
0.000 0.000 0.000 Na
0.000 0.500 0.500 Nb
0.500 0.000 0.500 Nb
0.500 0.500 0.500 Pd
0.500 0.500 0.000 Br
```

Values from the calculation:
Electronic total energy, eV per cell: -22.6
Uncorrected formation energy, eV per atom: 1.137
Space group: No. 123
N(E_F), states/eV/atom: 1.2872


HfAu4 | PBE | relaxed

Geometry as POSCAR:
```
HfAu4
1.0
6.989 0.000 0.000
0.000 6.918 0.000
0.000 0.000 4.307
Hf Au
2 8
Direct
0.000 0.000 0.000 Hf
0.500 0.000 0.500 Hf
0.000 0.363 0.256 Au
0.000 0.637 0.744 Au
0.250 0.262 0.750 Au
0.250 0.738 0.250 Au
0.500 0.363 0.244 Au
0.500 0.637 0.756 Au
0.750 0.262 0.750 Au
0.750 0.738 0.250 Au
```

Values from the calculation:
Electronic total energy, eV per cell: -46.7
Space group: No. 53
Energy of formation, eV/atom: -0.0536
N(E_F), states/eV/atom: 0.4861


Er4BSb2 | PBE | relaxed

Geometry as POSCAR:
```
Er4BSb2
1.0
-2.421 2.421 7.815
2.421 -2.421 7.815
2.421 2.421 -7.815
Er B Sb
4 1 2
Direct
0.000 0.500 0.500 Er
0.161 0.161 0.000 Er
0.500 0.000 0.500 Er
0.839 0.839 0.000 Er
0.000 0.000 0.000 B
0.359 0.359 0.000 Sb
0.641 0.641 0.000 Sb
```

Values from the calculation:
Electronic total energy, eV per cell: -38.1
Uncorrected formation energy, eV per atom: -0.705
Space group: No. 139
N(E_F), states/eV/atom: 0.5452